# 1
## Tl4Ge3Br10 (GGA-PBE)

Data for Tl4Ge3Br10 after structural relaxation.

## Properties
The value obtained for the energy is -51.62 eV/cell. As for the raw formation energy: -680.5 meV/atom. The volume comes out at 592 Å³ per cell.

Cell and atoms, written as extended XYZ:
```
17
Lattice="5.4860 0.0000 -0.7449 -0.1011 5.4851 -0.7449 -0.1165 -0.1187 19.7157" Properties=species:S:1:pos:R:3 pbc="T T T"
Br 4.1550 4.2323 10.0259
Br 1.1134 1.1341 8.2000
Br 1.7842 4.6115 13.1399
Br 0.3666 0.3734 2.6996
Br 2.7430 0.0000 -0.3725
Br 0.6906 3.4975 5.0860
Br 3.4842 0.7550 5.0860
Br 4.9018 4.9931 15.5263
Br 4.5778 1.8689 13.1399
Br -0.0506 2.7426 -0.3725
Tl 3.0234 3.0797 1.6926
Tl 3.7117 3.7808 6.7615
Tl 2.2450 2.2868 16.5333
Tl 1.5567 1.5857 11.4644
Ge 0.0000 0.0000 0.0000
Ge 0.7625 0.7767 5.6159
Ge 4.5058 4.5897 12.6100
```

# 2
## TlGeBr4 (GGA-PBE)

Data for TlGeBr4 after structural relaxation.

## Properties
The value obtained for the energy is -34.45 eV/cell. Its density of states at the Fermi level is 2.49 states/eV/cell. As for the raw formation energy: -591.3 meV/atom. The volume comes out at 444 Å³ per cell.

Cell and atoms, written as extended XYZ:
```
12
Lattice="6.7430 0.8339 0.0000 -0.2810 7.5408 0.0000 -3.2310 -4.1874 8.6882" Properties=species:S:1:pos:R:3 pbc="T T T"
Tl 1.6858 0.2085 6.6806
Tl 1.5453 3.9789 2.0076
Br 4.0222 6.3568 1.0443
Br 5.8114 2.4348 1.0443
Br 0.1944 2.6078 4.9484
Br 0.3349 -1.1625 3.7398
Br 3.0366 1.5795 3.7398
Br 2.8961 5.3499 4.9484
Br -0.7911 -2.1695 7.6439
Br -2.5804 1.7525 7.6439
Ge 5.0573 0.6254 2.5320
Ge -1.8263 3.5619 6.1562
```

# 3
## Tl2GeBr5 (GGA-PBE)

Data for Tl2GeBr5 after structural relaxation.

## Properties
The value obtained for the energy is -22.83 eV/cell. Its density of states at the Fermi level is 4.04 states/eV/cell. As for the raw formation energy: -638.9 meV/atom. The volume comes out at 311 Å³ per cell.

Cell and atoms, written as extended XYZ:
```
8
Lattice="-0.4344 4.3227 6.3618 3.7989 -5.4193 3.9427 2.8694 2.8351 -6.3961" Properties=species:S:1:pos:R:3 pbc="T T T"
Tl 3.7994 -1.7552 1.4526
Tl 1.6827 3.1159 2.6620
Br 2.8112 -0.7075 7.7690
Br 1.0578 -0.1356 2.3972
Br 4.0398 0.6361 4.5079
Br 3.0381 -2.9606 4.4526
Br 0.8314 2.1178 5.7136
Ge 6.1403 1.6914 3.9340
```

# 4
## TlGe2Br2 (GGA-PBE)

Data for TlGe2Br2 after structural relaxation.

## Properties
The value obtained for the energy is -16.04 eV/cell. Its density of states at the Fermi level is 1.46 states/eV/cell. As for the raw formation energy: -219.1 meV/atom. For the energy above the most stable polymorph in this dataset, the calculation gives 0.0 meV/atom. The volume comes out at 140 Å³ per cell.

Cell and atoms, written as extended XYZ:
```
5
Lattice="3.9018 0.0000 0.0000 0.0000 3.9018 0.0000 1.9509 1.9509 9.1674" Properties=species:S:1:pos:R:3 pbc="T T T"
Tl 0.0000 0.0000 0.0000
Ge 1.9509 3.9018 4.5837
Ge 3.9018 1.9509 4.5837
Br 3.9018 3.9018 7.1440
Br 1.9509 1.9509 2.0234
```

# 5
## Tl6GeBr8 (GGA-PBE)

Data for Tl6GeBr8 after structural relaxation.

## Properties
The value obtained for the energy is -44.06 eV/cell. Its density of states at the Fermi level is 0.00 states/eV/cell. As for the raw formation energy: -791.1 meV/atom. The volume comes out at 549 Å³ per cell.

Cell and atoms, written as extended XYZ:
```
15
Lattice="-7.9304 -3.1948 1.1461 0.2511 -8.6191 -0.2475 -0.7498 -3.1819 7.9828" Properties=species:S:1:pos:R:3 pbc="T T T"
Tl -5.9081 -4.2333 4.5822
Tl -3.6322 -7.7437 0.8150
Tl -0.8483 -6.5048 5.5489
Tl -2.5210 -10.7626 4.2993
Tl -7.5808 -8.4910 3.3325
Tl -4.7970 -7.2521 8.0665
Ge 0.0000 0.0000 0.0000
Br -7.6972 -6.4320 6.4605
Br -5.3078 -10.5320 1.8057
Br -6.6780 -5.7079 1.5996
Br -3.1213 -4.4638 7.0758
Br -1.7511 -9.2879 7.2819
Br -0.7319 -8.5638 2.4209
Br -2.8146 -5.0073 2.9657
Br -5.6145 -9.9885 5.9158
```

# 6
## Tl2GeBr4 (GGA-PBE)

Data for Tl2GeBr4 after structural relaxation.

## Properties
The value obtained for the energy is -21.01 eV/cell. As for the raw formation energy: -709.7 meV/atom. For the energy above the most stable polymorph in this dataset, the calculation gives 10.2 meV/atom. The volume comes out at 252 Å³ per cell.

Cell and atoms, written as extended XYZ:
```
7
Lattice="-5.2426 1.6189 0.4747 -1.5543 -5.2374 0.6965 -2.4085 -1.0111 8.7965" Properties=species:S:1:pos:R:3 pbc="T T T"
Br -2.6213 0.8095 0.2374
Br -0.7771 -2.6187 0.3482
Br -6.4633 -3.3495 3.9382
Br -2.7421 -1.2801 6.0295
Tl -6.0853 -3.0448 7.0730
Tl -3.1200 -1.5848 2.8947
Ge 0.0000 0.0000 0.0000
```

# 7
## TlGe2Br (GGA-PBE)

Data for TlGe2Br after structural relaxation.

## Properties
The value obtained for the energy is -11.85 eV/cell. Its density of states at the Fermi level is 2.68 states/eV/cell. As for the raw formation energy: 356.6 meV/atom. For the energy above the most stable polymorph in this dataset, the calculation gives 0.0 meV/atom. The volume comes out at 97 Å³ per cell.

Cell and atoms, written as extended XYZ:
```
4
Lattice="2.2703 -1.0080 4.5131 0.9838 3.8308 3.3008 -2.6883 0.3820 4.3778" Properties=species:S:1:pos:R:3 pbc="T T T"
Ge 0.4244 2.4036 9.1438
Ge 0.1415 0.8012 3.0479
Br 0.0000 0.0000 0.0000
Tl 0.2829 1.6024 6.0959
```

# 8
## Tl4GeBr6 (GGA-PBE)

Data for Tl4GeBr6 after structural relaxation.

## Properties
The value obtained for the energy is -65.32 eV/cell. Its density of states at the Fermi level is 0.00 states/eV/cell. As for the raw formation energy: -776.3 meV/atom. The volume comes out at 759 Å³ per cell.

Cell and atoms, written as extended XYZ:
```
22
Lattice="-3.6834 -4.5176 -6.7100 7.9252 -3.4923 -1.9993 -1.7523 -7.3668 5.9217" Properties=species:S:1:pos:R:3 pbc="T T T"
Tl 2.9142 -11.4400 -1.6658
Tl -1.3009 -7.6200 1.8390
Tl -1.7129 -10.5089 -1.8767
Tl 3.3262 -8.5512 2.0499
Tl 3.7903 -7.7566 -4.6266
Tl -0.4248 -3.9367 -1.1218
Tl -0.8367 -6.8255 -4.8375
Tl 4.2023 -4.8678 -0.9109
Br -0.3646 -1.5326 1.2320
Br 2.2248 -2.2200 -2.1034
Br -0.7039 -3.5306 -4.6004
Br 4.9567 -8.0844 -0.7880
Br 1.0244 -5.2913 1.5230
Br -1.3878 -5.8342 4.6897
Br 1.6093 -6.1557 -2.6258
Br 0.8802 -9.2209 -0.1618
Br 1.4650 -10.0854 -4.3106
Br -2.4672 -7.2923 -1.9996
Br 2.0170 -5.7899 -6.6059
Br 4.9457 -4.4793 -4.1089
Ge 2.1209 -4.0049 -4.3547
Ge -0.8762 -3.6834 2.9609
```